No. 1
A relaxed Ho4ErTh3 crystal. Source: Alexandria via LeMat-Bulk, functional PBE-GGA.

The structure belongs to space group Pmn2_1 (No. 31); the cell edges are 11.515, 7.135 and 6.213 Å and the angles 90.00°, 90.00° and 90.00°. The asymmetric unit holds Ho at (0.000, 0.127, 0.000), Ho at (0.000, 0.868, 0.502), Ho at (0.249, 0.128, 0.342), Er at (0.000, 0.376, 0.511), Th at (0.000, 0.624, 0.009) and Th at (0.250, 0.384, 0.832).

For the relative energy among the computed polymorphs, the calculation gives 13.9 meV per atom.


No. 2
A relaxed TbNd2Zn crystal. Source: Alexandria via LeMat-Bulk, functional PBE-GGA.

The structure belongs to space group R3m (No. 160, hexagonal axes); the cell edges are 3.6718, 3.6718 and 31.5621 Å and the angles 90.00°, 90.00° and 120.00°. The asymmetric unit holds Tb at (0.0000, 0.0000, 0.0000), Nd at (0.0000, 0.0000, 0.2394), Nd at (0.0000, 0.0000, 0.4270) and Zn at (0.0000, 0.0000, 0.8334).

For the relative energy among the computed polymorphs, the calculation gives 130.5 meV per atom.


No. 3
A relaxed AlAgP2 crystal. Source: Alexandria via LeMat-Bulk, functional PBE-GGA.

The structure belongs to space group P2/m (No. 10); the cell edges are 4.030, 3.529 and 5.317 Å and the angles 90.00°, 105.23° and 90.00°. The asymmetric unit holds Al at (0.000, 0.000, 0.000), Ag at (0.500, 0.000, 0.500) and P at (0.305, 0.500, 0.811).

Its calculated total energy is -4.2967 eV/atom.


No. 4
A relaxed TbPmH8Rh2 crystal. Source: Alexandria via LeMat-Bulk, functional PBE-GGA.

The structure belongs to space group R-3 (No. 148, hexagonal axes); the cell edges are 4.9148, 4.9148 and 17.6029 Å and the angles 90.00°, 90.00° and 120.00°. The asymmetric unit holds Tb at (0.0000, 0.0000, 0.0000), Pm at (0.0000, 0.0000, 0.5000), H at (0.0000, 0.0000, 0.1762), H at (0.0495, 0.4383, 0.0599) and Rh at (0.0000, 0.0000, 0.2676).

Its calculated total energy is -4.5465 eV/atom.


No. 5
A relaxed Sm3ZnP2Rh9 crystal. Source: Alexandria via LeMat-Bulk, functional PBE-GGA.

The structure belongs to space group P-3m1 (No. 164); the cell edges are 6.2388, 6.2388 and 8.1174 Å and the angles 90.00°, 90.00° and 120.00°. The asymmetric unit holds Sm at (0.0000, 0.0000, 0.0000), Sm at (0.3333, 0.6667, 0.6513), Zn at (0.0000, 0.0000, 0.5000), P at (0.3333, 0.6667, 0.1635), Rh at (0.0000, 0.5000, 0.0000) and Rh at (0.1649, 0.3297, 0.3077).

Its calculated total energy is -6.7469 eV/atom.


No. 6
A relaxed Ba7Tl2Pt2 crystal. Source: Alexandria via LeMat-Bulk, functional PBE-GGA.

The structure belongs to space group C2/m (No. 12); the cell edges are 8.771, 14.352 and 8.447 Å and the angles 90.00°, 101.42° and 90.00°. The asymmetric unit holds Ba at (0.000, 0.000, 0.000), Ba at (0.028, 0.500, 0.745), Ba at (0.233, 0.214, 0.723), Tl at (0.145, 0.000, 0.432) and Pt at (0.000, 0.337, 0.500).

For the relative energy among the computed polymorphs, the calculation gives 72.3 meV per atom.